Entry from the Alexandria database: a relaxed LaNd3Si4 crystal (GGA-PBE). Values from VASP.

Quantum ESPRESSO input file:
```
&SYSTEM
  ibrav = 0, nat = 8, ntyp = 3
/
ATOMIC_SPECIES
La 138.91 La.upf
Nd 144.24 Nd.upf
Si 28.09 Si.upf
ATOMIC_POSITIONS crystal
La 0.0000 0.0000 0.0000
Nd 0.1939 0.6939 0.5000
Nd 0.5000 0.5000 0.0000
Nd 0.8061 0.3061 0.5000
Si 0.1883 0.8675 0.3208
Si 0.4533 0.1325 0.3208
Si 0.5467 0.8675 0.6792
Si 0.8117 0.1325 0.6792
CELL_PARAMETERS angstrom
-2.0565 3.2580 8.1052
2.0565 -3.2580 8.1052
2.0565 3.2580 -8.1052
```

Properties
Total moment = 0.001 μB per cell

---

Entry from the Alexandria database: a relaxed NaAlCd2S4 crystal (GGA-PBE). Values from VASP.

Quantum ESPRESSO input file:
```
&SYSTEM
  ibrav = 0, nat = 8, ntyp = 4
/
ATOMIC_SPECIES
Na 22.99 Na.upf
Al 26.98 Al.upf
Cd 112.41 Cd.upf
S 32.06 S.upf
ATOMIC_POSITIONS crystal
Na 0.0000 0.0000 0.0000
Al 0.5000 0.5000 0.0000
Cd 0.2500 0.7500 0.5000
Cd 0.7500 0.2500 0.5000
S 0.1624 0.5996 0.0000
S 0.4004 0.4004 0.5628
S 0.5996 0.1624 0.0000
S 0.8376 0.8376 0.4372
CELL_PARAMETERS angstrom
-3.0488 3.0488 5.2922
3.0488 -3.0488 5.2922
3.0488 3.0488 -5.2922
```

Properties
Total moment = 0.000 μB per cell

---

Entry from the Alexandria database: a relaxed K2CaSe2 crystal (GGA-PBE). Values from VASP.

Quantum ESPRESSO input file:
```
&SYSTEM
  ibrav = 0, nat = 10, ntyp = 3
/
ATOMIC_SPECIES
K 39.10 K.upf
Ca 40.08 Ca.upf
Se 78.96 Se.upf
ATOMIC_POSITIONS crystal
K 0.1468 0.1298 0.2767
K 0.3532 0.6298 0.9830
K 0.6468 0.3702 0.0170
K 0.8532 0.8702 0.7233
Ca 0.2500 0.7500 0.5000
Ca 0.7500 0.2500 0.5000
Se 0.1058 0.7175 0.8234
Se 0.3942 0.2175 0.6117
Se 0.6058 0.7825 0.3883
Se 0.8942 0.2825 0.1766
CELL_PARAMETERS angstrom
-3.9413 6.4246 3.6182
3.9413 -6.4246 3.6182
3.9413 6.4246 -3.6182
```

Properties
Total moment = 0.000 μB per cell
Energy relative to the lowest polymorph listed for this composition = 0.0000 eV/atom

---

Number 1: E_form (uncorrected) -504 meV/atom. Number 2: E_form (uncorrected) -921 meV/atom. Number 3: E_form (uncorrected) -1404 meV/atom.